VASP calculation (GGA-PBEsol) on a geometry-optimized Bi2IrOs2 structure.

Unit cell a=6.6214 b=6.6214 c=6.6214 alpha=143.34 beta=143.34 gamma=52.81
Last column: nearest neighbours and their distance in Å.
Atoms (fractional coordinates):
Bi 0.2500 0.7500 0.5000  4 Os 2.74, 4 Bi 2.94
Bi 0.7500 0.2500 0.5000  4 Os 2.74, 4 Bi 2.94
Ir 0.0000 0.0000 0.0000  8 Os 3.17
Os 0.4007 0.4007 0.0000  1 Os 2.36
Os 0.5993 0.5993 0.0000  1 Os 2.36

Computed properties:
size of the total moment: 0.0 μB per formula unit
raw total energy: -35.23 eV/cell